Nb4TlPbC2 | PBE | optimized geometry

Output
Its space group is P-6m2, No. 187. For the total energy, the calculation gives -8.3695 eV per atom. The spin magnetization comes out at 0.00 μB per atom.

Unit cell a=3.2717 b=3.2717 c=14.3693 alpha=90.00 beta=90.00 gamma=120.00
Closest atoms and distances in Å follow each position.
Fractional coordinates of all 8 atoms:
Nb: 0.0000 0.0000 0.1703  3 C 2.21
Nb: 0.0000 0.0000 0.8297  3 C 2.21
Nb: 0.3333 0.6667 0.3299  3 C 2.21
Nb: 0.3333 0.6667 0.6701  3 C 2.21
Tl: 0.0000 0.0000 0.5000  6 Nb 3.09, 6 Tl 3.27
Pb: 0.3333 0.6667 0.0000  6 Nb 3.09, 6 Pb 3.27
C: 0.6667 0.3333 0.2504  6 Nb 2.21
C: 0.6667 0.3333 0.7496  6 Nb 2.21